1.
Density functional theory data (PBE) for ThCoPd after structural relaxation.

abc: 3.750 3.709 8.502
angles: 102.60 90.00 90.00
Atoms (fractional coordinates):
1 Th 0.250 0.891 0.782
2 Th 0.750 0.109 0.218
3 Co 0.750 0.459 0.919
4 Co 0.250 0.541 0.081
5 Pd 0.750 0.295 0.589
6 Pd 0.250 0.705 0.411

- calculated formation energy (eV per atom) = -0.490
- calculated volume (Å³/atom) = 19.24
- electronic total energy (hartree per atom) = -0.260

***

2.
Density functional theory data (PBE) for Th2CoPd after structural relaxation.

abc: 4.405 4.406 5.689
angles: 89.99 90.00 60.00
Atoms (fractional coordinates):
1 Pd 0.000 0.000 0.500
2 Th 0.333 0.333 0.774
3 Th 0.667 0.667 0.226
4 Co 0.000 0.000 0.000

- calculated formation energy (eV per atom) = -0.475
- calculated volume (Å³/atom) = 23.91
- electronic total energy (hartree per atom) = -0.267

***

3.
Density functional theory data (PBE) for Th3Co2Pd after structural relaxation.

abc: 5.742 7.045 7.932
angles: 106.43 90.00 114.05
Atoms (fractional coordinates):
1 Th 0.500 0.000 0.750
2 Th 0.183 0.365 0.591
3 Th 0.817 0.635 0.409
4 Th 0.183 0.365 0.091
5 Th 0.817 0.635 0.909
6 Th 0.500 0.000 0.250
7 Co 0.338 0.677 0.419
8 Co 0.662 0.323 0.581
9 Co 0.662 0.323 0.081
10 Co 0.338 0.677 0.919
11 Pd 0.000 0.000 0.750
12 Pd 0.000 0.000 0.250

- calculated formation energy (eV per atom) = -0.415
- calculated volume (Å³/atom) = 23.22
- electronic total energy (hartree per atom) = -0.270

***

4.
Density functional theory data (PBE) for Th2CoPd after structural relaxation.

abc: 3.841 3.841 8.790
angles: 77.38 77.38 60.00
Atoms (fractional coordinates):
1 Th 0.894 0.894 0.319
2 Th 0.106 0.106 0.681
3 Pd 0.000 0.000 0.000
4 Co 0.500 0.500 0.500

- calculated formation energy (eV per atom) = -0.029
- calculated volume (Å³/atom) = 27.16
- electronic total energy (hartree per atom) = -0.250